# PBE Si2OsRu, optimized geometry
# Calculated density   10.3 g/cm3
# E_form (uncorrected)   0.28 eV/atom
# Raw total energy   -30.2 eV per cell
data_Si2OsRu
_cell_length_a 2.774
_cell_length_b 2.774
_cell_length_c 8.248
_cell_angle_alpha 90.00
_cell_angle_beta 90.00
_cell_angle_gamma 117.50
_symmetry_space_group_name_H-M 'P 1'
_symmetry_Int_Tables_number 1
_symmetry_space_group_name_Hall 'P 1'
loop_
_atom_site_label
_atom_site_type_symbol
_atom_site_fract_x
_atom_site_fract_y
_atom_site_fract_z
Si1 Si 0.000 0.000 0.000
Si2 Si 0.500 0.500 0.253
Os1 Os 0.000 0.000 0.487
Ru1 Ru 0.500 0.500 0.772